A plane-wave DFT calculation with PBE was carried out for a relaxed PmMgNiIr crystal.

a b c (Å): 6.6576 6.6576 6.6576
angles (deg): 90.00 90.00 90.00
Fractional coordinates of all 16 atoms:
Pm  0.0000  0.0000  0.0000
Pm  0.0000  0.5000  0.5000
Pm  0.5000  0.0000  0.5000
Pm  0.5000  0.5000  0.0000
Mg  0.0000  0.0000  0.5000
Mg  0.0000  0.5000  0.0000
Mg  0.5000  0.0000  0.0000
Mg  0.5000  0.5000  0.5000
Ni  0.2500  0.2500  0.7500
Ni  0.2500  0.7500  0.2500
Ni  0.7500  0.2500  0.2500
Ni  0.7500  0.7500  0.7500
Ir  0.2500  0.2500  0.2500
Ir  0.2500  0.7500  0.7500
Ir  0.7500  0.2500  0.7500
Ir  0.7500  0.7500  0.2500

Output
formation enthalpy at 0 K	-0.325	eV/atom
space group	No. 216
raw total energy	-5.57	eV per atom